Compound: Pm2TmMoO8
Source: the Alexandria database
Functional: GGA+U
Structure: optimized geometry

Values from the calculation:
* VASP energy: -7.661 eV/atom
* total magnetic moment: 1.0 μB/cell
* space group: No. 10
* mass density: 6215 kg/m3

a = 5.1600 Å, b = 6.8501 Å, c = 5.1629 Å
α = 90.00°, β = 91.03°, γ = 90.00°
Element x y z (fractional)
Pm 0.0000 0.2492 0.0000
Pm 0.0000 0.7508 0.0000
Tm 0.5000 0.0000 0.5000
Mo 0.5000 0.5000 0.5000
O 0.2019 0.0000 0.2007
O 0.2338 0.5000 0.2323
O 0.3222 0.2856 0.6766
O 0.3222 0.7144 0.6766
O 0.6778 0.2856 0.3234
O 0.6778 0.7144 0.3234
O 0.7662 0.5000 0.7677
O 0.7981 0.0000 0.7993